Computed, not measured: crystalline Ho3ErFe at its relaxed geometry at the PBE level of DFT.

Summary:
symmetry: Pm-3m, No. 221
formation enthalpy at 0 K: 117 meV per atom
theoretical density: 8.337 Mg/m³
energy above the lowest structure with this stoichiometry: 82.6 meV per atom

Cell and atoms, written as POSCAR:
```
Ho3ErFe
1.0
5.2291 0.0000 0.0000
0.0000 5.2291 0.0000
0.0000 0.0000 5.2291
Ho Fe Er
3 1 1
Cartesian
2.6145 0.0000 0.0000 Ho
0.0000 0.0000 2.6145 Ho
0.0000 2.6145 0.0000 Ho
0.0000 0.0000 0.0000 Fe
2.6145 2.6145 2.6145 Er
```



Computed, not measured: crystalline Pa2InC at its relaxed geometry at the PBE level of DFT.

Summary:
symmetry: R-3m, No. 166
formation enthalpy at 0 K: -283 meV per atom
theoretical density: 11.518 Mg/m³
energy above the lowest structure with this stoichiometry: 4.0 meV per atom

Cell and atoms, written as POSCAR:
```
Pa2InC
1.0
3.3592 0.0000 0.0000
1.6796 2.9092 0.0000
1.6796 0.9697 8.6880
C In Pa
1 1 2
Cartesian
0.0000 0.0000 0.0000 C
3.3592 1.9395 4.3440 In
5.0388 2.9092 7.1877 Pa
1.6796 0.9697 1.5003 Pa
```



Computed, not measured: crystalline TbTm5Cd6 at its relaxed geometry at the PBE level of DFT.

Summary:
symmetry: Cmmm, No. 65
formation enthalpy at 0 K: -314 meV per atom
theoretical density: 9.118 Mg/m³

Cell and atoms, written as POSCAR:
```
TbTm5Cd6
1.0
-4.3480 -2.9009 0.2012
1.1801 -1.2683 7.2185
-6.3667 4.9594 1.9123
Cd Tm Tb
6 5 1
Cartesian
-1.2912 -2.3991 5.5002 Cd
-4.0793 1.8626 6.6968 Cd
-4.8724 -1.6989 6.2007 Cd
-5.4553 -1.0723 2.6351 Cd
-4.6621 2.4891 3.1312 Cd
-1.8767 -1.7701 1.9195 Cd
-6.5629 0.7534 5.0225 Tm
-7.1340 1.3584 1.4050 Tm
-2.9716 0.0369 4.3094 Tm
0.5901 -0.6342 3.6092 Tm
-3.5807 0.7002 0.7084 Tm
0.0000 0.0000 0.0000 Tb
```



Computed, not measured: crystalline CePr2S4 at its relaxed geometry at the PBE level of DFT.

Summary:
symmetry: Cmcm, No. 63
formation energy without anion corrections: -2.01 eV/atom
theoretical density: 4.987 Mg/m³
energy above the lowest structure with this stoichiometry: 11.8 meV per atom

Cell and atoms, written as POSCAR:
```
CePr2S4
1.0
3.9875 0.0000 0.0000
-1.9938 6.7932 0.0000
0.0000 0.0000 13.5254
Ce Pr S
2 4 8
Cartesian
1.9938 1.6753 10.1440 Ce
0.0000 5.1179 3.3813 Ce
1.9938 5.0197 7.7021 Pr
0.0000 1.7735 0.9394 Pr
0.0000 1.7735 5.8233 Pr
1.9938 5.0197 12.5860 Pr
1.9938 0.0000 6.7627 S
0.0000 3.0422 11.8423 S
0.0000 0.3494 3.3813 S
1.9938 6.4438 10.1440 S
1.9938 3.7510 1.6831 S
0.0000 3.0422 8.4458 S
1.9938 3.7510 5.0796 S
1.9938 0.0000 0.0000 S
```



Computed, not measured: crystalline LaMo2Se at its relaxed geometry at the PBE level of DFT.

Summary:
symmetry: F-43m, No. 216
formation energy without anion corrections: 0.35 eV/atom
theoretical density: 8.601 Mg/m³

Cell and atoms, written as POSCAR:
```
LaMo2Se
1.0
-2.6242 3.5624 -1.9082
-4.2871 1.1162 1.8957
-0.5657 4.1335 2.4109
La Se Mo
1 1 2
Cartesian
-3.7385 4.4060 1.1992 La
-1.8692 2.2030 0.5996 Se
0.0000 0.0000 0.0000 Mo
-5.6077 6.6090 1.7988 Mo
```



Computed, not measured: crystalline CsTmBiCl6 at its relaxed geometry at the PBE level of DFT.

Summary:
symmetry: P1, No. 1
formation energy without anion corrections: -1.68 eV/atom
theoretical density: 3.324 Mg/m³

Cell and atoms, written as POSCAR:
```
CsTmBiCl6
1.0
-1.1840 -4.4771 -5.6174
-0.6232 -6.9269 1.9521
-7.3472 0.7241 1.3284
Cl Tm Bi Cs
6 1 1 1
Cartesian
-3.3925 -9.3530 -1.5785 Cl
-3.1022 -5.8930 -0.4153 Cl
-3.7665 -6.8135 -4.1835 Cl
-6.0276 -7.9337 0.5454 Cl
-6.9157 -8.2909 -2.9991 Cl
-6.0467 -4.9082 -1.9732 Cl
-4.9002 -7.3454 -1.8148 Tm
-4.2538 -3.3944 -0.5357 Bi
-7.3660 0.5329 1.2712 Cs
```